Material: Tc2MoPd
Method: DFT, PBE-GGA
State: relaxed

Values from the calculation:
The formation energy comes out at 0.312 eV per atom.

Lattice parameters (Å, degrees): 6.241 6.241 6.241 90.00 90.00 90.00
Space group F-43m (No. 216)
One atom of each set of equivalent atoms:
Tc (0.000, 0.000, 0.000)
Tc (0.250, 0.250, 0.250)
Mo (0.250, 0.250, 0.750)
Pd (0.000, 0.000, 0.500)


Material: Te2MoPd
Method: DFT, PBE-GGA
State: relaxed

Lattice parameters (Å, degrees): 6.946 6.946 6.946 90.00 90.00 90.00
Space group F-43m (No. 216)
One atom of each set of equivalent atoms:
Te (0.000, 0.000, 0.000)
Te (0.250, 0.250, 0.250)
Mo (0.250, 0.250, 0.750)
Pd (0.000, 0.000, 0.500)


Material: TeMoPd
Method: DFT, PBE-GGA
State: relaxed

Lattice parameters (Å, degrees): 6.216 6.216 6.216 90.00 90.00 90.00
Space group F-43m (No. 216)
One atom of each set of equivalent atoms:
Te (0.000, 0.000, 0.000)
Mo (0.250, 0.250, 0.750)
Pd (0.250, 0.250, 0.250)


Material: ThMoPd
Method: DFT, PBE-GGA
State: relaxed

Values from the calculation:
The calculation puts the energy above the most stable polymorph in this dataset at 0.000 eV per atom. The formation energy comes out at 0.375 eV per atom.

Lattice parameters (Å, degrees): 6.450 6.450 6.450 90.00 90.00 90.00
Space group F-43m (No. 216)
One atom of each set of equivalent atoms:
Th (0.000, 0.000, 0.000)
Mo (0.250, 0.250, 0.750)
Pd (0.000, 0.000, 0.500)


Material: TlMoPd2
Method: DFT, PBE-GGA
State: relaxed

Lattice parameters (Å, degrees): 6.480 6.480 6.480 90.00 90.00 90.00
Space group F-43m (No. 216)
One atom of each set of equivalent atoms:
Tl (0.000, 0.000, 0.000)
Mo (0.250, 0.250, 0.250)
Pd (0.000, 0.000, 0.500)
Pd (0.250, 0.250, 0.750)


Material: TlMo2Pd
Method: DFT, PBE-GGA
State: relaxed

Lattice parameters (Å, degrees): 6.516 6.516 6.516 90.00 90.00 90.00
Space group F-43m (No. 216)
One atom of each set of equivalent atoms:
Tl (0.000, 0.000, 0.000)
Mo (0.000, 0.000, 0.500)
Mo (0.250, 0.250, 0.750)
Pd (0.250, 0.250, 0.250)


Material: UMoPd
Method: DFT, PBE-GGA
State: relaxed

Values from the calculation:
The calculation puts the energy above the most stable polymorph in this dataset at 0.137 eV per atom. The formation energy comes out at 0.624 eV per atom.

Lattice parameters (Å, degrees): 6.298 6.298 6.298 90.00 90.00 90.00
Space group F-43m (No. 216)
One atom of each set of equivalent atoms:
U (0.000, 0.000, 0.000)
Mo (0.250, 0.250, 0.750)
Pd (0.250, 0.250, 0.250)


Material: UMoPd
Method: DFT, PBE-GGA
State: relaxed

Values from the calculation:
The calculation puts the energy above the most stable polymorph in this dataset at 0.000 eV per atom. The formation energy comes out at 0.487 eV per atom.

Lattice parameters (Å, degrees): 6.236 6.236 6.236 90.00 90.00 90.00
Space group F-43m (No. 216)
One atom of each set of equivalent atoms:
U (0.000, 0.000, 0.000)
Mo (0.250, 0.250, 0.750)
Pd (0.000, 0.000, 0.500)


Material: MoPd6W
Method: DFT, PBE-GGA
State: relaxed

Values from the calculation:
The formation energy comes out at -0.009 eV per atom.

Lattice parameters (Å, degrees): 5.5145 5.5145 4.5901 90.00 90.00 120.00
Space group P-6m2 (No. 187)
One atom of each set of equivalent atoms:
Mo (0.0000, 0.0000, 0.0000)
Pd (0.0077, 0.5039, 0.0000)
Pd (0.3259, 0.1629, 0.5000)
W (0.3333, 0.6667, 0.5000)


Material: MoPd2W
Method: DFT, PBE-GGA
State: relaxed

Values from the calculation:
The formation energy comes out at 0.225 eV per atom.

Lattice parameters (Å, degrees): 6.291 6.291 6.291 90.00 90.00 90.00
Space group F-43m (No. 216)
One atom of each set of equivalent atoms:
Mo (0.000, 0.000, 0.000)
Pd (0.000, 0.000, 0.500)
Pd (0.250, 0.250, 0.250)
W (0.250, 0.250, 0.750)


Material: YMo2Pd
Method: DFT, PBE-GGA
State: relaxed

Values from the calculation:
The formation energy comes out at 0.110 eV per atom.

Lattice parameters (Å, degrees): 6.595 6.595 6.595 90.00 90.00 90.00
Space group F-43m (No. 216)
One atom of each set of equivalent atoms:
Y (0.000, 0.000, 0.000)
Mo (0.000, 0.000, 0.500)
Mo (0.250, 0.250, 0.250)
Pd (0.250, 0.250, 0.750)


Material: YMoPd2
Method: DFT, PBE-GGA
State: relaxed

Values from the calculation:
The formation energy comes out at 0.008 eV per atom.

Lattice parameters (Å, degrees): 6.554 6.554 6.554 90.00 90.00 90.00
Space group F-43m (No. 216)
One atom of each set of equivalent atoms:
Y (0.000, 0.000, 0.000)
Mo (0.250, 0.250, 0.250)
Pd (0.000, 0.000, 0.500)
Pd (0.250, 0.250, 0.750)


Material: Y2MoPd
Method: DFT, PBE-GGA
State: relaxed

Values from the calculation:
The formation energy comes out at 0.250 eV per atom.

Lattice parameters (Å, degrees): 6.915 6.915 6.915 90.00 90.00 90.00
Space group F-43m (No. 216)
One atom of each set of equivalent atoms:
Y (0.000, 0.000, 0.000)
Y (0.250, 0.250, 0.250)
Mo (0.250, 0.250, 0.750)
Pd (0.000, 0.000, 0.500)


Material: YMoPd
Method: DFT, PBE-GGA
State: relaxed

Values from the calculation:
The formation energy comes out at 0.910 eV per atom.

Lattice parameters (Å, degrees): 6.543 6.543 6.543 90.00 90.00 90.00
Space group F-43m (No. 216)
One atom of each set of equivalent atoms:
Y (0.000, 0.000, 0.000)
Mo (0.250, 0.250, 0.750)
Pd (0.250, 0.250, 0.250)


Material: ZnMo2Pd
Method: DFT, PBE-GGA
State: relaxed

Values from the calculation:
The formation energy comes out at 0.169 eV per atom.

Lattice parameters (Å, degrees): 6.266 6.266 6.266 90.00 90.00 90.00
Space group F-43m (No. 216)
One atom of each set of equivalent atoms:
Zn (0.000, 0.000, 0.000)
Mo (0.000, 0.000, 0.500)
Mo (0.250, 0.250, 0.750)
Pd (0.250, 0.250, 0.250)


Respective total DFT energy (no corrections) values: -8.8740, -4.9017, -6.0903, -7.4376, -5.5934, -6.7931, -8.4826, -8.6192, -6.8665, -8.3145, -8.2242, -6.9077, -6.9881, -6.5860, -6.8647 eV per atom.